Material: RbHfHg2
Method: DFT, PBE-GGA
State: relaxed

Structure (POSCAR):
```
RbHfHg2
1.0
0.000 3.818 3.818
3.818 0.000 3.818
3.818 3.818 0.000
Rb Hf Hg
1 1 2
direct
0.000 0.000 0.000 Rb
0.500 0.500 0.500 Hf
0.250 0.250 0.250 Hg
0.750 0.750 0.750 Hg
```

Its density is 9.926 g/cm3. The calculation puts the energy relative to the elements at 0.490 eV per atom. The calculation puts the excess energy over the best structure of this formula in the dataset at 0.0 meV per atom.